Entry 1:
PmSm4Au2 after structural relaxation. Source: Alexandria via LeMat-Bulk, functional GGA-PBE.

Cell: 4.9905 4.9905 10.7785 Å, 76.61 76.61 60.00°
With the nearest neighbours (Å) after each atom.
Sites, in units of the cell vectors:
1 Sm 0.7018 0.7018 0.8945  4 Au 3.03-3.12
2 Au 0.6018 0.6018 0.1947  7 Sm 3.03-3.14, 1 Pm 3.17
3 Pm 0.5000 0.5000 0.5000  2 Au 3.17, 6 Sm 3.47
4 Sm 0.1047 0.1047 0.6860  3 Au 3.14, 3 Pm 3.47
5 Sm 0.2982 0.2982 0.1055  4 Au 3.03-3.12
6 Sm 0.8953 0.8953 0.3140  3 Au 3.14, 3 Pm 3.47
7 Au 0.3982 0.3982 0.8053  7 Sm 3.03-3.14, 1 Pm 3.17

Output
calculated total energy = -4.530 eV/atom
DFT formation energy = -5.05 kcal/mol of atoms
DOS(E_F) = 10.1 states/eV per cell


Entry 2:
LiBeSe after structural relaxation. Source: Alexandria via LeMat-Bulk, functional GGA-PBE.

Cell: 5.9579 5.1569 3.9680 Å, 80.38 58.58 41.04°
With the nearest neighbours (Å) after each atom.
Sites, in units of the cell vectors:
1 Be 0.9718 0.9718 0.0282  2 Se 2.11
2 Li 0.6617 0.6617 0.3383  2 Be 2.60, 3 Se 2.70-2.84
3 Se 0.3664 0.3664 0.6336  2 Be 2.11

Output
calculated total energy = -3.169 eV/atom
DOS(E_F) = 1.3 states/eV per cell
formation energy without anion corrections = -0.127 eV per atom
polymorph energy (0 for the lowest one) = 0.222 eV/atom


Entry 3:
NdEr12Tm7 after structural relaxation. Source: Alexandria via LeMat-Bulk, functional GGA-PBE.

Cell: 9.7053 9.7053 9.7053 Å, 109.47 109.47 109.47°
With the nearest neighbours (Å) after each atom.
Sites, in units of the cell vectors:
1 Tm 0.0000 0.0000 0.5000  6 Er 2.81
2 Tm 0.0000 0.5000 0.5000  12 Er 3.82-3.97
3 Tm 0.5000 0.0000 0.0000  6 Er 2.81
4 Er 0.7416 0.4823 0.7407  2 Tm 2.81
5 Er 0.9991 0.7407 0.2584  2 Tm 2.81
6 Er 0.5177 0.2593 0.2584  2 Tm 2.81
7 Tm 0.0000 0.5000 0.0000  6 Er 2.81
8 Er 0.7416 0.0009 0.2593  2 Tm 2.81
9 Tm 0.5000 0.5000 0.0000  12 Er 3.82-3.97
10 Er 0.4823 0.7407 0.7416  2 Tm 2.81
11 Nd 0.0000 0.0000 0.0000  12 Er 4.10
12 Er 0.7407 0.7416 0.4823  2 Tm 2.81
13 Er 0.2593 0.2584 0.5177  2 Tm 2.81
14 Er 0.7407 0.2584 0.9991  2 Tm 2.81
15 Er 0.2593 0.7416 0.0009  2 Tm 2.81
16 Er 0.2584 0.9991 0.7407  2 Tm 2.81
17 Er 0.2584 0.5177 0.2593  2 Tm 2.81
18 Er 0.0009 0.2593 0.7416  2 Tm 2.81
19 Tm 0.5000 0.0000 0.5000  12 Er 3.82-3.97
20 Tm 0.5000 0.5000 0.5000  6 Er 2.81

Output
calculated total energy = -3.806 eV/atom
DFT formation energy = 16.94 kcal/mol of atoms
DOS(E_F) = 24.0 states/eV per cell
polymorph energy (0 for the lowest one) = 0.492 eV/atom


Entry 4:
BiPd3F after structural relaxation. Source: Alexandria via LeMat-Bulk, functional GGA-PBE.

Cell: 4.4804 4.4804 4.4804 Å, 90.00 90.00 90.00°
With the nearest neighbours (Å) after each atom.
Sites, in units of the cell vectors:
1 Pd 0.0000 0.0000 0.5000  2 F 2.24
2 Pd 0.5000 0.0000 0.0000  2 F 2.24
3 Bi 0.5000 0.5000 0.5000  12 Pd 3.17
4 F 0.0000 0.0000 0.0000  6 Pd 2.24
5 Pd 0.0000 0.5000 0.0000  2 F 2.24

Output
calculated total energy = -4.318 eV/atom
DOS(E_F) = 2.3 states/eV per cell
formation energy without anion corrections = -0.052 eV per atom
polymorph energy (0 for the lowest one) = 0.000 eV/atom


Entry 5:
YMoAs2Rh after structural relaxation. Source: Alexandria via LeMat-Bulk, functional GGA-PBE.

Cell: 5.2095 4.7667 5.2095 Å, 90.00 90.00 90.00°
With the nearest neighbours (Å) after each atom.
Sites, in units of the cell vectors:
1 Rh 0.0000 0.5000 0.0000  2 Y 2.38
2 As 0.5000 0.0000 0.0000  2 Y 2.60
3 As 0.0000 0.0000 0.5000  2 Y 2.60
4 Y 0.0000 0.0000 0.0000  2 Rh 2.38, 4 As 2.60
5 Mo 0.5000 0.5000 0.5000  8 As 3.53, 4 Rh 3.68

Output
calculated total energy = -5.288 eV/atom
DFT formation energy = 34.62 kcal/mol of atoms
DOS(E_F) = 6.7 states/eV per cell


Entry 6:
AcNdPuHg after structural relaxation. Source: Alexandria via LeMat-Bulk, functional GGA-PBE.

Cell: 5.5753 5.5753 5.5753 Å, 60.00 60.00 60.00°
With the nearest neighbours (Å) after each atom.
Sites, in units of the cell vectors:
1 Ac 0.2500 0.2500 0.2500  4 Nd 3.41, 4 Pu 3.41
2 Hg 0.7500 0.7500 0.7500  4 Nd 3.41, 4 Pu 3.41
3 Pu 0.0000 0.0000 0.0000  4 Hg 3.41, 4 Ac 3.41
4 Nd 0.5000 0.5000 0.5000  4 Hg 3.41, 4 Ac 3.41

Output
calculated total energy = -5.746 eV/atom
DFT formation energy = 3.03 kcal/mol of atoms
DOS(E_F) = 11.0 states/eV per cell